No. 1
Density functional theory data (PBE-GGA) for a geometry-optimized Ac6CdTe5 structure.

Summary:
N(E_F), states/eV per cell: 6.13
Theoretical density, g cm⁻³: 7.69
VASP energy, Ry per atom: -0.3468
Magnetization, μB per cell: 0.00

Lattice parameters (Å, degrees): 8.205 8.274 8.240 59.86 80.38 70.56
Element x y z (fractional)
1 Ac 0.244 0.919 0.674
2 Ac 0.756 0.407 0.674
3 Ac 0.248 0.243 0.000
4 Ac 0.752 0.757 0.000
5 Ac 0.756 0.081 0.326
6 Ac 0.244 0.593 0.326
7 Te 0.500 0.500 0.000
8 Te 0.500 0.172 0.657
9 Te 0.000 0.335 0.330
10 Te 0.500 0.828 0.343
11 Te 0.000 0.665 0.670
12 Cd 0.000 0.000 0.000

---

No. 2
Density functional theory data (PBE-GGA) for a geometry-optimized Ce6TlPt structure.

Summary:
N(E_F), states/eV per cell: 25.27
Theoretical density, g cm⁻³: 8.82
VASP energy, Ry per atom: -0.4177
Magnetization, μB per cell: 3.90
Energy of formation from the pure elements, meV/atom: -182

Lattice parameters (Å, degrees): 6.289 6.289 6.404 102.07 102.07 102.26
Site moments in Bohr magnetons follow the coordinates.
Element x y z (fractional)
1 Ce 0.832 0.406 0.811  0.58
2 Ce 0.180 0.180 0.603  0.49
3 Ce 0.406 0.832 0.811  0.58
4 Ce 0.168 0.594 0.189  0.58
5 Ce 0.594 0.168 0.189  0.58
6 Ce 0.820 0.820 0.397  0.49
7 Tl 0.000 0.000 0.000  -0.01
8 Pt 0.500 0.500 0.500  -0.01

---

No. 3
Density functional theory data (PBE-GGA) for a geometry-optimized AcTbCeMg structure.

Summary:
N(E_F), states/eV per cell: 10.06
Theoretical density, g cm⁻³: 6.94
VASP energy, Ry per atom: -0.2849
Magnetization, μB per cell: 1.70
Energy of formation from the pure elements, meV/atom: 191

Lattice parameters (Å, degrees): 5.712 5.712 5.712 60.00 60.00 60.00
Site moments in Bohr magnetons follow the coordinates.
Element x y z (fractional)
1 Tb 0.250 0.250 0.250  0.15
2 Ac 0.500 0.500 0.500  0.13
3 Mg 0.000 0.000 0.000  0.00
4 Ce 0.750 0.750 0.750  0.94

---

No. 4
Density functional theory data (PBE-GGA) for a geometry-optimized Sr5TlPt2 structure.

Summary:
N(E_F), states/eV per cell: 8.88
Theoretical density, g cm⁻³: 6.41
VASP energy, Ry per atom: -0.2572
Magnetization, μB per cell: 0.00
Energy of formation from the pure elements, meV/atom: -642

Lattice parameters (Å, degrees): 8.345 8.345 9.691 115.50 115.50 90.00
Element x y z (fractional)
1 Sr 0.464 0.302 0.266
2 Sr 0.000 0.000 0.000
3 Sr 0.964 0.464 0.266
4 Sr 0.198 0.036 0.734
5 Sr 0.802 0.964 0.266
6 Sr 0.698 0.198 0.734
7 Sr 0.536 0.698 0.734
8 Sr 0.036 0.536 0.734
9 Sr 0.302 0.802 0.266
10 Sr 0.500 0.500 0.000
11 Tl 0.250 0.250 0.500
12 Tl 0.750 0.750 0.500
13 Pt 0.876 0.624 0.000
14 Pt 0.376 0.876 0.000
15 Pt 0.124 0.376 0.000
16 Pt 0.624 0.124 0.000

---

No. 5
Density functional theory data (PBE-GGA) for a geometry-optimized Sr2AgGe2 structure.

Summary:
N(E_F), states/eV per cell: 7.48
Polymorph energy (0 for the lowest one), kcal/mol of atoms: 12.823
Theoretical density, g cm⁻³: 4.92
VASP energy, Ry per atom: -0.2243
Magnetization, μB per cell: 0.00
Energy of formation from the pure elements, meV/atom: 38

Lattice parameters (Å, degrees): 9.332 9.332 3.320 90.00 90.00 90.00
Element x y z (fractional)
1 Ge 0.170 0.670 0.500
2 Ge 0.330 0.170 0.500
3 Ge 0.830 0.330 0.500
4 Ge 0.670 0.830 0.500
5 Ag 0.500 0.500 0.000
6 Ag 0.000 0.000 0.000
7 Sr 0.366 0.866 0.000
8 Sr 0.634 0.134 0.000
9 Sr 0.866 0.634 0.000
10 Sr 0.134 0.366 0.000

---

No. 6
Density functional theory data (PBE-GGA) for a geometry-optimized Ac8Tl2Ir structure.

Summary:
N(E_F), states/eV per cell: 14.25
Theoretical density, g cm⁻³: 9.26
VASP energy, Ry per atom: -0.3277
Magnetization, μB per cell: 0.00
Energy of formation from the pure elements, meV/atom: -235

Lattice parameters (Å, degrees): 5.077 8.254 10.675 94.36 103.76 90.00
Element x y z (fractional)
1 Ac 0.597 0.504 0.194
2 Ac 0.997 0.221 0.995
3 Ac 0.218 0.328 0.437
4 Ac 0.403 0.496 0.806
5 Ac 0.782 0.672 0.563
6 Ac 0.361 0.988 0.722
7 Ac 0.639 0.012 0.278
8 Ac 0.003 0.779 0.005
9 Tl 0.821 0.247 0.643
10 Tl 0.179 0.753 0.357
11 Ir 0.500 0.000 0.000

---

No. 7
Density functional theory data (PBE-GGA) for a geometry-optimized VGaPt2 structure.

Summary:
N(E_F), states/eV per cell: 5.21
Theoretical density, g cm⁻³: 9.67
VASP energy, Ry per atom: -0.4366
Magnetization, μB per cell: 2.10
Energy of formation from the pure elements, meV/atom: 116

Lattice parameters (Å, degrees): 5.528 5.528 6.944 66.54 66.54 90.00
Site moments in Bohr magnetons follow the coordinates.
Element x y z (fractional)
1 V 0.250 0.750 0.500  0.97
2 V 0.500 0.500 0.000  0.97
3 Pt 0.875 0.866 0.750  -0.03
4 Pt 0.616 0.125 0.250  -0.03
5 Pt 0.375 0.384 0.750  -0.03
6 Pt 0.134 0.625 0.250  -0.03
7 Ga 0.000 0.000 0.000  0.00
8 Ga 0.750 0.250 0.500  0.00

---

No. 8
Density functional theory data (PBE-GGA) for a geometry-optimized MnCd3B structure.

Summary:
N(E_F), states/eV per cell: 6.37
Polymorph energy (0 for the lowest one), kcal/mol of atoms: 16.714
Theoretical density, g cm⁻³: 4.93
VASP energy, Ry per atom: -0.1656
Magnetization, μB per cell: 3.13
Energy of formation from the pure elements, meV/atom: 1465

Lattice parameters (Å, degrees): 5.140 5.140 5.140 90.00 90.00 90.00
Site moments in Bohr magnetons follow the coordinates.
Element x y z (fractional)
1 Cd 0.500 0.000 0.000  -0.02
2 Cd 0.000 0.000 0.500  -0.01
3 Cd 0.000 0.500 0.000  0.00
4 B 0.500 0.500 0.500  -0.18
5 Mn 0.000 0.000 0.000  3.51

---

No. 9
Density functional theory data (PBE-GGA) for a geometry-optimized ZnBi2Sb2 structure.

Summary:
N(E_F), states/eV per cell: 2.47
Polymorph energy (0 for the lowest one), kcal/mol of atoms: 1.891
Theoretical density, g cm⁻³: 6.51
VASP energy, Ry per atom: -0.2305
Magnetization, μB per cell: 0.00

Lattice parameters (Å, degrees): 5.581 5.581 7.138 66.99 66.99 90.00
Element x y z (fractional)
1 Sb 0.250 0.750 0.500
2 Sb 0.750 0.250 0.500
3 Zn 0.000 0.000 0.000
4 Bi 0.363 0.363 0.273
5 Bi 0.637 0.637 0.727

---

No. 10
Density functional theory data (PBE-GGA) for a geometry-optimized TbPr6Ho4 structure.

Summary:
N(E_F), states/eV per cell: 16.65
Polymorph energy (0 for the lowest one), kcal/mol of atoms: 0.000
Theoretical density, g cm⁻³: 7.16
VASP energy, Ry per atom: -0.3241
Magnetization, μB per cell: 0.00
Energy of formation from the pure elements, meV/atom: 283

Lattice parameters (Å, degrees): 9.994 9.994 9.994 55.75 141.39 141.39
Element x y z (fractional)
1 Pr 0.500 0.000 0.500
2 Pr 0.000 0.816 0.459
3 Pr 0.642 0.184 0.184
4 Pr 0.000 0.459 0.816
5 Pr 0.500 0.500 0.000
6 Pr 0.358 0.541 0.541
7 Ho 0.369 0.358 0.358
8 Ho 0.631 0.990 0.990
9 Ho 0.000 0.642 0.010
10 Ho 0.000 0.010 0.642
11 Tb 0.000 0.000 0.000